Record 1
First-principles (GGA-PBE) data for a geometry-optimized LiEr5Cd6 structure, as listed in the Alexandria database.

For the density of states at the Fermi level, the calculation gives 8.53 states/eV/f.u. The energy comes out at -2.815 eV/atom. As for the space group: Immm.

a b c (Å): 5.171 7.381 8.957
angles (deg): 114.33 106.78 90.00
Fractional positions:
Cd1 0.159 0.393 0.317
Cd2 0.159 0.924 0.317
Cd3 0.500 0.229 0.000
Cd4 0.500 0.771 0.000
Cd5 0.841 0.076 0.683
Cd6 0.841 0.607 0.683
Er1 0.328 0.828 0.656
Er2 0.664 0.664 0.329
Er3 0.000 0.500 0.000
Er4 0.336 0.336 0.671
Er5 0.672 0.172 0.344
Li1 0.000 0.000 0.000


Record 2
First-principles (GGA-PBE) data for a geometry-optimized LaSn2RhN structure, as listed in the Alexandria database.

For the density of states at the Fermi level, the calculation gives 4.29 states/eV/f.u. The energy comes out at -5.283 eV/atom. As for the space group: P4/mmm.

a b c (Å): 4.959 5.458 4.959
angles (deg): 90.00 90.00 90.00
Fractional positions:
N1 0.500 0.500 0.500
Rh1 0.000 0.000 0.000
Sn1 0.000 0.000 0.500
Sn2 0.500 0.000 0.000
La1 0.000 0.500 0.000


Record 3
First-principles (GGA-PBE) data for a geometry-optimized CdSnP2Ir structure, as listed in the Alexandria database.

For the density of states at the Fermi level, the calculation gives 2.21 states/eV/f.u. The energy comes out at -4.567 eV/atom. As for the space group: P4/mmm.

a b c (Å): 4.489 6.015 4.489
angles (deg): 90.00 90.00 90.00
Fractional positions:
P1 0.000 0.000 0.500
P2 0.500 0.000 0.000
Ir1 0.000 0.000 0.000
Sn1 0.000 0.500 0.000
Cd1 0.500 0.500 0.500


Record 4
First-principles (GGA-PBE) data for a geometry-optimized NdCoSi2Ru structure, as listed in the Alexandria database.

For the density of states at the Fermi level, the calculation gives 2.57 states/eV/f.u. The energy comes out at -7.218 eV/atom. As for the space group: I-4m2.

a b c (Å): 4.073 4.073 5.751
angles (deg): 110.74 110.74 90.00
Fractional positions:
Nd1 0.000 0.000 0.000
Co1 0.250 0.750 0.500
Si1 0.632 0.632 0.264
Si2 0.368 0.368 0.736
Ru1 0.750 0.250 0.500


Record 5
First-principles (GGA-PBE) data for a geometry-optimized RbLiZn2Ni structure, as listed in the Alexandria database.

For the density of states at the Fermi level, the calculation gives 2.45 states/eV/f.u. The energy comes out at -2.144 eV/atom. As for the space group: P4/mmm.

a b c (Å): 4.818 4.818 4.986
angles (deg): 90.00 90.00 90.00
Fractional positions:
Ni1 0.000 0.000 0.000
Zn1 0.000 0.500 0.000
Zn2 0.500 0.000 0.000
Rb1 0.500 0.500 0.500
Li1 0.000 0.000 0.500


Record 6
First-principles (GGA-PBE) data for a geometry-optimized MgCr2Te structure, as listed in the Alexandria database.

For the density of states at the Fermi level, the calculation gives 3.19 states/eV/f.u. The energy comes out at -5.436 eV/atom. As for the space group: R-3m.

a b c (Å): 8.502 8.502 8.502
angles (deg): 23.59 23.59 23.59
Fractional positions:
Cr1 0.007 0.007 0.007
Cr2 0.493 0.493 0.493
Mg1 0.250 0.250 0.250
Te1 0.750 0.750 0.750


Record 7
First-principles (GGA-PBE) data for a geometry-optimized Y4GeSb2Te structure, as listed in the Alexandria database.

For the density of states at the Fermi level, the calculation gives 1.50 states/eV/f.u. The energy comes out at -6.395 eV/atom. As for the space group: P2/m.

a b c (Å): 4.319 7.528 7.503
angles (deg): 109.18 90.00 90.00
Fractional positions:
Y1 0.500 0.265 0.247
Y2 0.500 0.735 0.753
Y3 0.000 0.265 0.761
Y4 0.000 0.735 0.239
Ge1 0.500 0.500 0.000
Sb1 0.500 0.000 0.500
Sb2 0.000 0.500 0.500
Te1 0.000 0.000 0.000


Record 8
First-principles (GGA-PBE) data for a geometry-optimized SrRh2Pb structure, as listed in the Alexandria database.

For the density of states at the Fermi level, the calculation gives 3.85 states/eV/f.u. The energy comes out at -5.143 eV/atom. As for the space group: Amm2.

a b c (Å): 4.279 4.057 5.549
angles (deg): 68.61 90.00 90.00
Fractional positions:
Pb1 0.500 0.767 0.840
Rh1 0.000 0.199 0.977
Rh2 0.500 0.056 0.263
Sr1 0.000 0.478 0.421